Entry 1:
Cr2Ir2C | PBE | optimized geometry

The space group is R-3m (No. 166, hexagonal axes) and the conventional cell measures 2.7599, 2.7599 and 26.3240 Å, with angles of 90.00, 90.00 and 120.00 degrees. The inequivalent atoms are Cr at (0.0000, 0.0000, 0.1227), Ir at (0.0000, 0.0000, 0.3779) and C at (0.0000, 0.0000, 0.5000).

Its total energy is -9.380 eV per atom.

Entry 2:
Cr3IrC | PBE | optimized geometry

The space group is Pm-3m (No. 221) and the conventional cell measures 3.837, 3.837 and 3.837 Å, with angles of 90.00, 90.00 and 90.00 degrees. The inequivalent atoms are Cr at (0.000, 0.000, 0.500), Ir at (0.500, 0.500, 0.500) and C at (0.000, 0.000, 0.000).

Its total energy is -9.442 eV per atom. The calculation puts the excess energy over the best structure of this formula in the dataset at 0.00 kcal/mol of atoms.